Compound: PmNd2Zn3
Source: the Alexandria database
Functional: PBE
Structure: optimized geometry Values from VASP.

Computed properties:
E above lowest polymorph   0 meV per atom
Calculated formation energy   -313 meV/atom
Final energy   -3.331 eV/atom

Geometry as Quantum ESPRESSO input:
```
&SYSTEM
  ibrav = 0, nat = 6, ntyp = 3
/
ATOMIC_SPECIES
Pm 145.00 Pm.upf
Nd 144.24 Nd.upf
Zn 65.41 Zn.upf
CELL_PARAMETERS angstrom
5.1949 0.0000 0.0000
-2.5974 4.4989 0.0000
0.0000 0.0000 6.3686
ATOMIC_POSITIONS crystal
Pm 0.0000 0.0000 0.0000
Nd 0.6667 0.3333 0.3318
Nd 0.3333 0.6667 0.6682
Zn 0.0000 0.0000 0.5000
Zn 0.6667 0.3333 0.8338
Zn 0.3333 0.6667 0.1662
```



Compound: LaSiHg2
Source: the Alexandria database
Functional: PBE
Structure: optimized geometry Values from VASP.

Computed properties:
Raw formation energy   -8 kJ per mole of atoms
Final energy   -2.826 eV/atom

Geometry as Quantum ESPRESSO input:
```
&SYSTEM
  ibrav = 0, nat = 4, ntyp = 3
/
ATOMIC_SPECIES
Hg 200.59 Hg.upf
La 138.91 La.upf
Si 28.09 Si.upf
CELL_PARAMETERS angstrom
-1.5235 -0.6023 3.4032
3.4547 -0.2016 1.5133
-0.1090 6.8025 1.1551
ATOMIC_POSITIONS crystal
Hg 0.0000 0.0000 0.9671
Hg 0.0000 0.0000 0.5329
La 0.5000 0.5000 0.2500
Si 0.5000 0.5000 0.7500
```



Compound: Tb2CeY5Ho
Source: the Alexandria database
Functional: PBE
Structure: optimized geometry Values from VASP.

Computed properties:
Calculated formation energy   168 meV/atom
Final energy   -5.620 eV/atom

Geometry as Quantum ESPRESSO input:
```
&SYSTEM
  ibrav = 0, nat = 18, ntyp = 4
/
ATOMIC_SPECIES
Tb 158.93 Tb.upf
Ce 140.12 Ce.upf
Y 88.91 Y.upf
Ho 164.93 Ho.upf
CELL_PARAMETERS angstrom
-4.0316 -3.0997 -2.6232
8.5834 -7.0506 1.3808
-3.5136 -2.6149 8.4898
ATOMIC_POSITIONS crystal
Tb 0.8860 0.7721 0.8205
Tb 0.1328 0.2656 0.7085
Tb 0.1140 0.2279 0.3205
Tb 0.8672 0.7344 0.2085
Ce 0.8115 0.6230 0.5188
Ce 0.1885 0.3770 0.0188
Y 0.3914 0.7827 0.0452
Y 0.7333 0.4667 0.8336
Y 0.4717 0.9434 0.7473
Y 0.3057 0.6114 0.7114
Y 0.9871 0.9742 0.5110
Y 0.6086 0.2173 0.5452
Y 0.2667 0.5333 0.3336
Y 0.5283 0.0566 0.2473
Y 0.6943 0.3886 0.2114
Y 0.0129 0.0258 0.0110
Ho 0.5975 0.1950 0.9277
Ho 0.4025 0.8050 0.4277
```